Record 1
The following is a GGA-PBE calculation of a geometry-optimized SnTePdO structure, from OQMD via LeMat-Bulk.

POSCAR file:
```
SnTePdO
1.0
-3.573 -0.974 -0.394
-0.006 -1.380 3.459
-3.738 11.816 4.707
Sn O Pd Te
2 2 2 2
direct
0.250 0.250 0.409 Sn
0.750 0.750 0.591 Sn
0.750 0.250 0.500 O
0.250 0.750 0.500 O
0.250 0.250 0.938 Pd
0.750 0.750 0.062 Pd
0.250 0.250 0.138 Te
0.750 0.750 0.862 Te
```

Record 2
The following is a GGA-PBE calculation of a geometry-optimized SnTePdO structure, from OQMD via LeMat-Bulk.

POSCAR file:
```
SnTePdO
1.0
4.328 0.000 0.000
0.000 4.328 0.000
0.000 0.000 8.740
Te O Pd Sn
2 2 2 2
direct
0.750 0.750 0.852 Te
0.250 0.250 0.148 Te
0.250 0.750 0.500 O
0.750 0.250 0.500 O
0.250 0.250 0.472 Pd
0.750 0.750 0.528 Pd
0.250 0.250 0.784 Sn
0.750 0.750 0.216 Sn
```

Record 3
The following is a GGA-PBE calculation of a geometry-optimized SnTePdO structure, from OQMD via LeMat-Bulk.

POSCAR file:
```
SnTePdO
1.0
6.912 0.000 0.000
0.000 7.692 0.000
0.000 0.000 6.567
Te Pd Sn O
4 4 4 4
direct
0.018 0.326 0.545 Te
0.982 0.674 0.045 Te
0.482 0.326 0.045 Te
0.518 0.674 0.545 Te
0.759 0.943 0.944 Pd
0.741 0.943 0.444 Pd
0.259 0.057 0.944 Pd
0.241 0.057 0.444 Pd
0.428 0.730 0.066 Sn
0.072 0.730 0.566 Sn
0.572 0.270 0.566 Sn
0.928 0.270 0.066 Sn
0.925 0.950 0.695 O
0.575 0.950 0.195 O
0.075 0.050 0.195 O
0.425 0.050 0.695 O
```

Record 4
The following is a GGA-PBE calculation of a geometry-optimized SnTePdO structure, from OQMD via LeMat-Bulk.

POSCAR file:
```
SnTePdO
1.0
2.167 1.597 -7.709
-5.163 -2.122 5.959
-1.492 5.869 0.797
O Te Pd Sn
2 2 2 2
direct
0.386 0.614 0.468 O
0.614 0.386 0.968 O
0.864 0.136 0.975 Te
0.136 0.864 0.475 Te
0.481 0.519 0.964 Pd
0.519 0.481 0.464 Pd
0.814 0.186 0.486 Sn
0.186 0.814 0.986 Sn
```

Record 5
The following is a GGA-PBE calculation of a geometry-optimized SnTePdO structure, from OQMD via LeMat-Bulk.

POSCAR file:
```
SnTePdO
1.0
-0.186 -6.915 -0.371
4.266 -0.785 12.503
-6.933 0.060 2.369
O Sn Pd Te
8 8 8 8
direct
0.256 0.236 0.598 O
0.256 0.264 0.098 O
0.244 0.736 0.598 O
0.244 0.764 0.098 O
0.756 0.236 0.902 O
0.756 0.264 0.402 O
0.744 0.736 0.902 O
0.744 0.764 0.402 O
0.922 0.749 0.145 Sn
0.078 0.251 0.855 Sn
0.422 0.749 0.355 Sn
0.578 0.249 0.145 Sn
0.078 0.249 0.355 Sn
0.578 0.251 0.645 Sn
0.422 0.751 0.855 Sn
0.922 0.751 0.645 Sn
0.248 0.077 0.000 Pd
0.752 0.577 0.500 Pd
0.752 0.923 0.000 Pd
0.252 0.577 0.000 Pd
0.252 0.923 0.500 Pd
0.248 0.423 0.500 Pd
0.748 0.423 0.000 Pd
0.748 0.077 0.500 Pd
0.001 0.501 0.751 Te
0.501 0.999 0.249 Te
0.499 0.499 0.251 Te
0.999 0.499 0.249 Te
0.999 0.001 0.749 Te
0.501 0.501 0.749 Te
0.499 0.001 0.751 Te
0.001 0.999 0.251 Te
```

Record 6
The following is a GGA-PBE calculation of a geometry-optimized SnTePdO structure, from OQMD via LeMat-Bulk.

POSCAR file:
```
SnTePdO
1.0
-0.408 -2.016 4.086
2.327 -3.619 -1.553
7.395 3.661 2.545
Te Sn Pd O
2 2 2 2
direct
0.750 0.250 0.500 Te
0.250 0.750 0.500 Te
0.250 0.250 0.855 Sn
0.750 0.750 0.145 Sn
0.750 0.750 0.666 Pd
0.250 0.250 0.334 Pd
0.750 0.750 0.919 O
0.250 0.250 0.081 O
```

Record 7
The following is a GGA-PBE calculation of a geometry-optimized SnTePdO structure, from OQMD via LeMat-Bulk.

POSCAR file:
```
SnTePdO
1.0
6.766 0.000 0.000
0.000 11.218 0.000
0.000 0.000 8.973
O Sn Pd Te
8 8 8 8
direct
0.751 0.681 0.112 O
0.751 0.819 0.612 O
0.249 0.181 0.388 O
0.749 0.181 0.112 O
0.251 0.819 0.888 O
0.749 0.319 0.612 O
0.249 0.319 0.888 O
0.251 0.681 0.388 O
0.749 0.342 0.992 Sn
0.249 0.158 0.008 Sn
0.249 0.342 0.508 Sn
0.749 0.158 0.492 Sn
0.751 0.658 0.492 Sn
0.251 0.658 0.008 Sn
0.251 0.842 0.508 Sn
0.751 0.842 0.992 Sn
0.500 0.316 0.750 Pd
0.000 0.816 0.750 Pd
0.000 0.316 0.750 Pd
0.500 0.816 0.750 Pd
0.500 0.684 0.250 Pd
0.500 0.184 0.250 Pd
0.000 0.184 0.250 Pd
0.000 0.684 0.250 Pd
0.499 0.935 0.250 Te
0.999 0.565 0.750 Te
0.499 0.565 0.750 Te
0.001 0.065 0.750 Te
0.501 0.065 0.750 Te
0.999 0.935 0.250 Te
0.001 0.435 0.250 Te
0.501 0.435 0.250 Te
```

Record 8
The following is a GGA-PBE calculation of a geometry-optimized SnTePdO structure, from OQMD via LeMat-Bulk.

POSCAR file:
```
SnTePdO
1.0
-3.637 -3.692 6.999
-6.078 -4.626 4.183
2.791 -4.504 -0.926
Sn O Pd Te
2 2 2 2
direct
0.930 0.930 0.165 Sn
0.070 0.070 0.665 Sn
0.039 0.039 0.301 O
0.961 0.961 0.801 O
0.677 0.677 0.713 Pd
0.323 0.323 0.213 Pd
0.294 0.294 0.714 Te
0.706 0.706 0.214 Te
```

Polymorph energy (0 for the lowest one) values (in eV per formula unit) by entry order: 0.00, 2.10, 1.90, 1.15, 0.80, 1.57, 1.29, 0.15.